No. 1
Entry from the Alexandria database: YPt2 after structural relaxation (GGA-PBE).

a b c (Å): 4.445 4.445 3.690
angles (deg): 90.00 90.00 120.00
Element x y z (fractional)
1 Pt 0.667 0.333 0.000
2 Pt 0.333 0.667 0.000
3 Y 0.000 0.000 0.500

crystal system = hexagonal
DFT formation energy = -2.906 eV per formula unit
N(E_F) = 3.3 states/eV/f.u.
volume = 21.05 A^3/atom

No. 2
Entry from the Alexandria database: RbBePbC2 after structural relaxation (GGA-PBE).

a b c (Å): 4.195 4.839 4.195
angles (deg): 90.00 90.00 90.00
Element x y z (fractional)
1 Be 0.000 0.000 0.000
2 C 0.500 0.000 0.000
3 Rb 0.000 0.500 0.000
4 C 0.000 0.000 0.500
5 Pb 0.500 0.500 0.500

crystal system = tetragonal
DFT formation energy = 10.967 eV per formula unit
N(E_F) = 2.0 states/eV/f.u.
volume = 17.03 A^3/atom

No. 3
Entry from the Alexandria database: NaRhBr3 after structural relaxation (GGA-PBE).

a b c (Å): 5.134 5.134 5.134
angles (deg): 90.00 90.00 90.00
Element x y z (fractional)
1 Br 0.000 0.500 0.000
2 Rh 0.000 0.000 0.000
3 Br 0.500 0.000 0.000
4 Br 0.000 0.000 0.500
5 Na 0.500 0.500 0.500

crystal system = cubic
N(E_F) = 2.0 states/eV/f.u.
volume = 27.07 A^3/atom
energy relative to the elements, uncorrected = -0.567 eV/atom
energy relative to the lowest polymorph listed for this composition = 0 meV/atom

No. 4
Entry from the Alexandria database: HoErHg5 after structural relaxation (GGA-PBE).

a b c (Å): 4.577 4.577 8.683
angles (deg): 90.00 90.00 90.00
Element x y z (fractional)
1 Ho 0.500 0.500 0.000
2 Hg 0.500 0.000 0.238
3 Hg 0.000 0.500 0.238
4 Hg 0.500 0.000 0.762
5 Hg 0.000 0.500 0.762
6 Er 0.000 0.000 0.500
7 Hg 0.500 0.500 0.500

crystal system = tetragonal
DFT formation energy = -1.730 eV per formula unit
N(E_F) = 3.0 states/eV/f.u.
volume = 25.98 A^3/atom

No. 5
Entry from the Alexandria database: Tm3Pb5 after structural relaxation (GGA-PBE).

a b c (Å): 4.724 6.928 6.928
angles (deg): 96.83 90.00 90.00
Element x y z (fractional)
1 Pb 0.000 0.000 0.000
2 Pb 0.000 0.500 0.000
3 Tm 0.000 0.500 0.500
4 Tm 0.500 0.221 0.779
5 Pb 0.500 0.726 0.726
6 Pb 0.000 0.000 0.500
7 Tm 0.500 0.779 0.221
8 Pb 0.500 0.274 0.274

crystal system = orthorhombic
DFT formation energy = -2.462 eV per formula unit
N(E_F) = 3.6 states/eV/f.u.
volume = 28.14 A^3/atom

No. 6
Entry from the Alexandria database: Cu2PtCl after structural relaxation (GGA-PBE).

a b c (Å): 2.783 2.783 9.326
angles (deg): 90.00 90.00 118.55
Element x y z (fractional)
1 Pt 0.000 0.000 0.454
2 Cl 0.500 0.500 0.810
3 Cu 0.000 0.000 0.011
4 Cu 0.500 0.500 0.224

crystal system = orthorhombic
N(E_F) = 2.1 states/eV/f.u.
volume = 15.86 A^3/atom
energy relative to the elements, uncorrected = 0.206 eV/atom
energy relative to the lowest polymorph listed for this composition = 249 meV/atom

No. 7
Entry from the Alexandria database: Mn4ZnAg after structural relaxation (GGA-PBE).

a b c (Å): 4.814 4.814 4.814
angles (deg): 60.00 60.00 60.00
Each line ends with the local moment (μB).
Element x y z (fractional)
1 Zn 0.750 0.750 0.750  -0.03
2 Mn 0.376 0.376 0.376  1.50
3 Mn 0.873 0.376 0.376  1.50
4 Ag 0.000 0.000 0.000  0.08
5 Mn 0.376 0.873 0.376  1.50
6 Mn 0.376 0.376 0.873  1.50

crystal system = cubic
DFT formation energy = 2.484 eV per formula unit
N(E_F) = 8.7 states/eV/f.u.
volume = 13.14 A^3/atom

No. 8
Entry from the Alexandria database: Zr2AgSe after structural relaxation (GGA-PBE).

a b c (Å): 3.742 3.742 7.468
angles (deg): 75.49 75.49 60.00
Element x y z (fractional)
1 Ag 0.499 0.499 0.503
2 Zr 0.073 0.073 0.782
3 Se 0.667 0.667 0.998
4 Zr 0.261 0.261 0.218

crystal system = trigonal
N(E_F) = 4.0 states/eV/f.u.
volume = 21.67 A^3/atom
energy relative to the elements, uncorrected = -0.400 eV/atom